No. 1
Entry from OQMD via LeMat-Bulk: an optimized crystal structure of ZrCoOsPb (PBE-GGA).

Values from the calculation:
* M_tot: 2.6 μB per formula unit
* E above lowest polymorph: 362.7 meV/atom

Unit cell a=4.6671 b=4.6671 c=4.6671 alpha=60.00 beta=60.00 gamma=60.00
Atoms (fractional coordinates):
Zr  0.0000  0.0000  0.0000
Co  0.5000  0.5000  0.5000
Os  0.7500  0.7500  0.7500
Pb  0.2500  0.2500  0.2500

***

No. 2
Entry from OQMD via LeMat-Bulk: an optimized crystal structure of Hf2S (PBE-GGA).

Values from the calculation:
* M_tot: 0.0 μB per formula unit
* raw total energy: -8.7509 eV per atom

Unit cell a=5.8778 b=5.8778 c=3.5032 alpha=90.00 beta=90.00 gamma=90.00
Atoms (fractional coordinates):
Hf  0.2085  0.2085  0.0000
Hf  0.2915  0.7085  0.5000
Hf  0.7085  0.2915  0.5000
Hf  0.7915  0.7915  0.0000
S  0.0000  0.0000  0.5000
S  0.5000  0.5000  0.0000

***

No. 3
Entry from OQMD via LeMat-Bulk: an optimized crystal structure of NdHfTa (PBE-GGA).

Values from the calculation:
* M_tot: 0.0 μB per formula unit
* E above lowest polymorph: 387.6 meV/atom
* formation energy from the elements: 1.510 eV/atom

Unit cell a=4.8144 b=4.8144 c=4.8144 alpha=60.00 beta=60.00 gamma=60.00
Atoms (fractional coordinates):
Nd  0.0000  0.0000  0.0000
Hf  0.7500  0.7500  0.7500
Ta  0.2500  0.2500  0.2500

***

No. 4
Entry from OQMD via LeMat-Bulk: an optimized crystal structure of GaCuNiPb (PBE-GGA).

Values from the calculation:
* M_tot: 0.0 μB per formula unit
* E above lowest polymorph: 143.9 meV/atom

Unit cell a=4.6214 b=4.6214 c=4.6214 alpha=60.00 beta=60.00 gamma=60.00
Atoms (fractional coordinates):
Ga  0.0000  0.0000  0.0000
Cu  0.2500  0.2500  0.2500
Ni  0.5000  0.5000  0.5000
Pb  0.7500  0.7500  0.7500